## Re3Ru (PBE)

Data for crystalline Re3Ru at its relaxed geometry.

The structure in CIF format:
```
data_Re3Ru
_chemical_formula_sum 'Re3 Ru1'
_space_group_name_H-M_alt 'P m -3 m'
_space_group_IT_number 221
_space_group_name_Hall '-P 4 2 3'
_cell_length_a 4.7031
_cell_length_b 4.7031
_cell_length_c 4.7031
_cell_angle_alpha 90.00
_cell_angle_beta 90.00
_cell_angle_gamma 90.00
loop_
_atom_site_label
_atom_site_type_symbol
_atom_site_fract_x
_atom_site_fract_y
_atom_site_fract_z
Re1 Re 0.0000 0.0000 0.5000
Ru1 Ru 0.0000 0.0000 0.0000
```

Output
As for the density: 10.530 g/cm³. For the total energy, the calculation gives -8.5207 eV per atom. The calculation puts the energy relative to the elements at 3134 meV/atom.

## Re3Ru (PBE)

Data for crystalline Re3Ru at its relaxed geometry.

The structure in CIF format:
```
data_Re3Ru
_chemical_formula_sum 'Re6 Ru2'
_space_group_name_H-M_alt 'P 63/m m c'
_space_group_IT_number 194
_space_group_name_Hall '-P 6c 2c'
_cell_length_a 5.5321
_cell_length_b 5.5321
_cell_length_c 4.4339
_cell_angle_alpha 90.00
_cell_angle_beta 90.00
_cell_angle_gamma 120.00
loop_
_atom_site_label
_atom_site_type_symbol
_atom_site_fract_x
_atom_site_fract_y
_atom_site_fract_z
Re1 Re 0.1643 0.3286 0.2500
Ru1 Ru 0.3333 0.6667 0.7500
```

Output
As for the density: 18.644 g/cm³. For the total energy, the calculation gives -11.6992 eV per atom. The calculation puts the energy relative to the elements at -44 meV/atom.

Question: energy relative to the elements of number 2 (Re3Ru)?
Answer: -44 meV/atom